# 1
Density functional theory data (PBE) for a relaxed structure of Ba3Sn2Pb4.

Calculated values
raw total energy: -0.133 Ha/atom

Lattice parameters (Å, degrees): 4.8315 7.4337 10.3283 91.80 76.47 71.04
Closest atoms and distances in Å follow each position.
Fractional positions:
Ba 0.4766 0.3666 0.6802  2 Sn 3.53, 4 Pb 3.56-3.78
Ba 0.0000 0.0000 0.0000  6 Pb 3.56-3.66
Ba 0.5234 0.6334 0.3198  2 Sn 3.53, 4 Pb 3.56-3.78
Sn 0.1984 0.2701 0.3332  3 Pb 3.05-3.17
Sn 0.8016 0.7299 0.6668  3 Pb 3.05-3.17
Pb 0.2955 0.3742 0.0349  2 Pb 3.12, 1 Sn 3.17
Pb 0.7045 0.6258 0.9651  2 Pb 3.12, 1 Sn 3.17
Pb 0.1898 0.9860 0.6344  2 Sn 3.05
Pb 0.8102 0.0140 0.3656  2 Sn 3.05

# 2
Density functional theory data (PBE) for a relaxed structure of BaSnPb.

Calculated values
raw total energy: -0.129 Ha/atom

Lattice parameters (Å, degrees): 5.6020 5.6020 5.6020 60.00 60.00 60.00
Closest atoms and distances in Å follow each position.
Fractional positions:
Pb 0.0000 0.0000 0.0000  4 Sn 3.43
Ba 0.5000 0.5000 0.5000  4 Sn 3.43
Sn 0.2500 0.2500 0.2500  4 Ba 3.43, 4 Pb 3.43

| no. | E_form (eV per atom) | total moment (μB per formula unit) | Fermi-level density of states (states/eV per atom) |
| --- | --- | --- | --- |
| 1 | -0.4402 | 0.00 | 0.384 |
| 2 | -0.3108 | 0.00 | 1.222 |